## CeAl4IrPd2 (PBE-GGA)

Data for a geometry-optimized CeAl4IrPd2 structure.

Lattice parameters (Å, degrees): 4.2598 4.2598 26.9925 90.00 90.00 120.00
Space group R-3m (No. 166, hexagonal axes)
Symmetry-distinct sites (fractional):
Ce (0.0000, 0.0000, 0.0000) x3
Al (0.0000, 0.0000, 0.1341) x6
Al (0.0000, 0.0000, 0.4042) x6
Ir (0.0000, 0.0000, 0.5000) x3
Pd (0.0000, 0.0000, 0.2330) x6

As for the density of states at the Fermi level: 18.024 states/eV per cell. The energy of formation comes out at -0.7519 eV per atom. For the volume, the calculation gives 17.7 A^3/atom. For the total magnetic moment, the calculation gives 0.4 μB per formula unit.